[1]
A plane-wave DFT calculation with PBE was carried out for a relaxed TlFe2W crystal.

```
TlFe2W
1.0
4.1422 0.0000 0.0000
0.0000 4.1425 0.0000
0.0000 0.0000 3.6126
Fe Tl W
2 1 1
Direct
0.5000 0.5000 0.0000
0.0000 0.0000 0.0000
0.5000 0.0000 0.5000
0.0000 0.5000 0.5000
```

Results
V = 15.50 A^3/atom
magnetization = 1.267 μB/atom
Fermi-level density of states = 4.4 states/eV/f.u.
electronic total energy = -7.384 eV per atom
energy of formation = 0.677 eV per atom



[2]
A plane-wave DFT calculation with PBE was carried out for a relaxed Nd5Tl6 crystal.

```
Nd5Tl6
1.0
5.1790 0.0060 -1.6032
-0.8966 7.1703 -2.8760
0.1224 -0.3672 9.5641
Nd Tl
5 6
Direct
0.3254 0.3254 0.6507
0.6746 0.6746 0.3493
0.6467 0.1467 0.2933
0.3533 0.8533 0.7067
0.0000 0.5000 0.0000
0.8345 0.5818 0.6691
0.4997 0.7362 0.0000
0.8346 0.0873 0.6691
0.1655 0.4182 0.3309
0.1654 0.9127 0.3309
0.5003 0.2638 0.0000
```

Results
V = 31.87 A^3/atom
magnetization = 0.000 μB/atom
Fermi-level density of states = 9.1 states/eV/f.u.
electronic total energy = -3.754 eV per atom
energy of formation = -0.296 eV per atom



Q: What is the electronic total energy in the second record?
A: -3.754 eV per atom